Model 1:
CdIr2Br after structural relaxation. Source: Alexandria, functional PBE.

## Properties
Total moment   0.0 Bohr magnetons per cell
Space group   No. 139

Unit cell a=5.040 b=5.040 c=5.040 alpha=131.51 beta=131.51 gamma=71.00
Atoms (fractional coordinates):
Cd 0.000 0.000 0.000
Ir 0.250 0.750 0.500
Ir 0.750 0.250 0.500
Br 0.500 0.500 0.000

---

Model 2:
CdIr2Br after structural relaxation. Source: Alexandria, functional PBE.

## Properties
Total moment   0.0 Bohr magnetons per cell
Space group   No. 122

Unit cell a=9.507 b=9.507 c=9.507 alpha=154.65 beta=154.65 gamma=36.15
Atoms (fractional coordinates):
Cd 0.000 0.000 0.000
Cd 0.750 0.250 0.500
Ir 0.185 0.625 0.060
Ir 0.375 0.435 0.560
Ir 0.565 0.125 0.940
Ir 0.875 0.815 0.440
Br 0.250 0.750 0.500
Br 0.500 0.500 0.000

---

Model 3:
CdIr2Br after structural relaxation. Source: Alexandria, functional PBE.

## Properties
Total moment   0.0 Bohr magnetons per cell
Space group   No. 119

Unit cell a=5.010 b=5.010 c=5.010 alpha=130.74 beta=130.74 gamma=72.23
Atoms (fractional coordinates):
Cd 0.000 0.000 0.000
Ir 0.250 0.750 0.500
Ir 0.500 0.500 0.000
Br 0.750 0.250 0.500

---

Which one is the least stable? From the structures above, model 1.